Entry 1:
Here is an optimized crystal structure of TlIr2W from Alexandria via LeMat-Bulk. Energies are from PBE-GGA.

Output
- M_tot (μB/cell) = 0.0
- formation energy from the elements (eV/f.u.) = 0.93
- energy above the lowest structure with this stoichiometry (eV per atom) = 0.162

Unit cell a=2.8940 b=3.8310 c=6.0859 alpha=90.00 beta=90.00 gamma=90.00
Last column: nearest neighbours and their distance in Å.
Atoms (fractional coordinates):
Tl 0.5000 0.5000 0.2500  2 Tl 2.89, 8 Ir 2.94, 2 W 3.04
Ir 0.0000 0.0000 0.9702  3 Ir 2.68-2.89, 4 W 2.75, 4 Tl 2.94
Ir 0.0000 0.0000 0.5298  3 Ir 2.68-2.89, 4 W 2.75, 4 Tl 2.94
W 0.5000 0.5000 0.7500  8 Ir 2.75, 2 W 2.89, 2 Tl 3.04

Entry 2:
Here is an optimized crystal structure of TbZn2Co2P from Alexandria via LeMat-Bulk. Energies are from PBE-GGA.

Output
- M_tot (μB/cell) = 1.6
- formation energy from the elements (eV/f.u.) = -2.36

Unit cell a=4.1952 b=4.1952 c=5.5071 alpha=90.00 beta=90.00 gamma=90.00
Last column: nearest neighbours and their distance in Å.
Atoms (fractional coordinates):
Tb 0.0000 0.0000 0.5000  2 P 2.75
Zn 0.5000 0.5000 0.7288  1 Zn 2.52, 4 Co 2.58
Zn 0.5000 0.5000 0.2712  1 Zn 2.52, 4 Co 2.58
Co 0.5000 0.0000 0.0000  2 P 2.10
Co 0.0000 0.5000 0.0000  2 P 2.10
P 0.0000 0.0000 0.0000  4 Co 2.10

Entry 3:
Here is an optimized crystal structure of K4ThSc3Se8 from Alexandria via LeMat-Bulk. Energies are from PBE-GGA.

Output
- M_tot (μB/cell) = 0.0
- formation energy without anion corrections (kJ/mol of formula units) = -2470

Unit cell a=8.1714 b=9.0151 c=8.1719 alpha=116.95 beta=120.00 gamma=90.00
Last column: nearest neighbours and their distance in Å.
Atoms (fractional coordinates):
Se 0.7587 0.2967 0.5175  2 Sc 2.79, 1 Th 2.91
Se 0.7208 0.7033 0.9621  2 Sc 2.79, 1 Th 2.91
Se 0.2792 0.2967 0.0379  2 Sc 2.79, 1 Th 2.91
Se 0.2413 0.7033 0.9621  2 Sc 2.79, 1 Th 2.91
Se 0.2413 0.7033 0.4825  2 Sc 2.79, 1 Th 2.91
Se 0.2687 0.3061 0.5374  3 Sc 2.79
Se 0.7313 0.6939 0.4626  3 Sc 2.79
Se 0.7587 0.2967 0.0379  2 Sc 2.79, 1 Th 2.91
K 0.0000 0.0000 0.0000  6 Se 3.32-3.33
K 0.5000 0.0000 0.5000  6 Se 3.32-3.33
K 0.0000 0.0000 0.5000  6 Se 3.32-3.33
K 0.5000 0.0000 0.0000  6 Se 3.21
Sc 0.5000 0.5000 0.5000  6 Se 2.79
Sc 0.0000 0.5000 0.5000  6 Se 2.79
Sc 0.5000 0.5000 0.0000  6 Se 2.79
Th 0.0000 0.5000 0.0000  6 Se 2.91

Entry 4:
Here is an optimized crystal structure of CoNi5N4 from Alexandria via LeMat-Bulk. Energies are from PBE-GGA.

Output
- M_tot (μB/cell) = 0.0
- formation energy without anion corrections (kJ/mol of formula units) = 247

Unit cell a=3.9453 b=5.7530 c=9.0103 alpha=90.00 beta=90.00 gamma=90.00
Last column: nearest neighbours and their distance in Å.
Atoms (fractional coordinates):
N 0.5404 0.5000 0.8035  1 Co 1.89, 4 Ni 1.93
N 0.4596 0.0000 0.3035  1 Co 1.89, 4 Ni 1.93
N 0.0197 0.7263 0.0000  1 Co 1.79, 3 Ni 1.80-1.81
N 0.9803 0.2263 0.5000  1 Co 1.79, 3 Ni 1.80-1.81
N 0.4596 0.0000 0.6965  1 Co 1.89, 4 Ni 1.93
N 0.0197 0.2737 0.0000  1 Co 1.79, 3 Ni 1.80-1.81
N 0.5404 0.5000 0.1965  1 Co 1.89, 4 Ni 1.93
N 0.9803 0.7737 0.5000  1 Co 1.79, 3 Ni 1.80-1.81
Ni 0.2957 0.7842 0.8437  3 N 1.81-1.93
Ni 0.2004 0.5000 0.5000  2 N 1.80
Ni 0.7043 0.7158 0.6563  3 N 1.81-1.93
Ni 0.7043 0.2842 0.6563  3 N 1.81-1.93
Ni 0.2957 0.7842 0.1563  3 N 1.81-1.93
Ni 0.7996 0.0000 0.0000  2 N 1.80
Ni 0.2957 0.2158 0.8437  3 N 1.81-1.93
Ni 0.7043 0.7158 0.3437  3 N 1.81-1.93
Ni 0.2957 0.2158 0.1563  3 N 1.81-1.93
Ni 0.7043 0.2842 0.3437  3 N 1.81-1.93
Co 0.7072 0.5000 0.0000  4 N 1.79-1.89
Co 0.2928 0.0000 0.5000  4 N 1.79-1.89

Entry 5:
Here is an optimized crystal structure of ErScSn from Alexandria via LeMat-Bulk. Energies are from PBE-GGA.

Output
- M_tot (μB/cell) = 0.0
- formation energy from the elements (eV/f.u.) = -1.13
- energy above the lowest structure with this stoichiometry (eV per atom) = 0.240

Unit cell a=3.6805 b=4.9429 c=4.9429 alpha=120.00 beta=90.00 gamma=90.00
Last column: nearest neighbours and their distance in Å.
Atoms (fractional coordinates):
Sc 0.8895 0.0000 0.0000  3 Sn 2.90
Er 0.3552 0.3333 0.6667  3 Sn 3.21, 6 Sc 3.33-3.47
Sn 0.7553 0.6667 0.3333  3 Sc 2.90, 3 Er 3.21

Entry 6:
Here is an optimized crystal structure of TbPaOs from Alexandria via LeMat-Bulk. Energies are from PBE-GGA.

Output
- M_tot (μB/cell) = 0.0
- formation energy from the elements (eV/f.u.) = -0.56
- energy above the lowest structure with this stoichiometry (eV per atom) = 0.000

Unit cell a=3.5411 b=3.5411 c=6.0336 alpha=107.06 beta=107.06 gamma=90.00
Last column: nearest neighbours and their distance in Å.
Atoms (fractional coordinates):
Tb 0.0056 0.0056 0.0112  5 Os 3.23-3.45, 5 Pa 3.27-3.35, 4 Tb 3.54
Pa 0.3034 0.3034 0.6069  4 Os 2.79
Os 0.6909 0.6909 0.3819  4 Pa 2.79

Entry 7:
Here is an optimized crystal structure of LaTlZn2Fe from Alexandria via LeMat-Bulk. Energies are from PBE-GGA.

Output
- M_tot (μB/cell) = 0.0
- formation energy from the elements (eV/f.u.) = 0.29

Unit cell a=4.8874 b=4.8874 c=4.8248 alpha=90.00 beta=90.00 gamma=90.00
Last column: nearest neighbours and their distance in Å.
Atoms (fractional coordinates):
Tl 0.5000 0.5000 0.5000  8 Zn 3.43, 4 La 3.46
Zn 0.5000 0.0000 0.0000  2 Fe 2.44
Zn 0.0000 0.5000 0.0000  2 Fe 2.44
La 0.0000 0.0000 0.5000  2 Fe 2.41
Fe 0.0000 0.0000 0.0000  2 La 2.41, 4 Zn 2.44

Entry 8:
Here is an optimized crystal structure of Hf3TcW from Alexandria via LeMat-Bulk. Energies are from PBE-GGA.

Output
- M_tot (μB/cell) = 1.1
- formation energy from the elements (eV/f.u.) = 6.70
- energy above the lowest structure with this stoichiometry (eV per atom) = 0.278

Unit cell a=4.9658 b=4.9658 c=4.9658 alpha=90.00 beta=90.00 gamma=90.00
Last column: nearest neighbours and their distance in Å.
Atoms (fractional coordinates):
Hf 0.0000 0.0000 0.5000  2 W 2.48
Hf 0.5000 0.0000 0.0000  2 W 2.48
Hf 0.0000 0.5000 0.0000  2 W 2.48
W 0.0000 0.0000 0.0000  6 Hf 2.48
Tc 0.5000 0.5000 0.5000  12 Hf 3.51

Entry 9:
Here is an optimized crystal structure of Zn2HgPt from Alexandria via LeMat-Bulk. Energies are from PBE-GGA.

Output
- M_tot (μB/cell) = 0.0
- formation energy from the elements (eV/f.u.) = -0.39

Unit cell a=4.6605 b=4.6605 c=5.3088 alpha=81.43 beta=81.43 gamma=36.45
Last column: nearest neighbours and their distance in Å.
Atoms (fractional coordinates):
Hg 0.7500 0.7500 0.7500  6 Zn 2.80-2.92, 2 Hg 2.92, 4 Pt 3.03
Pt 0.2500 0.2500 0.2500  6 Zn 2.69-2.72, 2 Pt 2.92
Zn 0.5084 0.5084 0.4669  3 Pt 2.69-2.72, 4 Zn 2.75-2.92, 3 Hg 2.80-2.92
Zn 0.9916 0.9916 0.0331  3 Pt 2.69-2.72, 4 Zn 2.75-2.92, 3 Hg 2.80-2.92

Entry 10:
Here is an optimized crystal structure of AcZn2NiPd from Alexandria via LeMat-Bulk. Energies are from PBE-GGA.

Output
- M_tot (μB/cell) = 0.0
- formation energy from the elements (eV/f.u.) = -2.04

Unit cell a=4.3207 b=4.0596 c=6.2893 alpha=108.83 beta=110.09 gamma=90.00
Last column: nearest neighbours and their distance in Å.
Atoms (fractional coordinates):
Ni 0.8341 0.8341 0.6682  3 Zn 2.47-2.56, 2 Pd 2.62
Pd 0.1998 0.6998 0.3995  2 Zn 2.58, 2 Ni 2.62
Ac 0.4286 0.4286 0.8572  4 Ni 3.14, 2 Pd 3.25, 6 Zn 3.29-3.39
Zn 0.0566 0.0566 0.1131  1 Ni 2.47, 2 Pd 2.58, 2 Zn 2.64
Zn 0.6931 0.1931 0.3863  2 Ni 2.56, 2 Zn 2.64

Entry 11:
Here is an optimized crystal structure of LiAs2Pb2 from Alexandria via LeMat-Bulk. Energies are from PBE-GGA.

Output
- M_tot (μB/cell) = 0.0
- formation energy from the elements (eV/f.u.) = 0.41
- energy above the lowest structure with this stoichiometry (eV per atom) = 0.124

Unit cell a=3.7378 b=3.7378 c=9.4332 alpha=78.57 beta=78.57 gamma=90.00
Last column: nearest neighbours and their distance in Å.
Atoms (fractional coordinates):
Pb 0.6000 0.6000 0.7999  4 Li 3.20, 4 As 3.30
Pb 0.4000 0.4000 0.2001  4 Li 3.20, 4 As 3.30
Li 0.0000 0.0000 0.0000  8 Pb 3.20
As 0.2500 0.7500 0.5000  4 As 2.64
As 0.7500 0.2500 0.5000  4 As 2.64

Entry 12:
Here is an optimized crystal structure of TcPd3Rh from Alexandria via LeMat-Bulk. Energies are from PBE-GGA.

Output
- M_tot (μB/cell) = 5.9
- formation energy from the elements (eV/f.u.) = 7.78
- energy above the lowest structure with this stoichiometry (eV per atom) = 0.097

Unit cell a=4.7741 b=4.7741 c=4.7741 alpha=90.00 beta=90.00 gamma=90.00
Last column: nearest neighbours and their distance in Å.
Atoms (fractional coordinates):
Pd 0.0000 0.0000 0.5000  2 Rh 2.39
Pd 0.0000 0.5000 0.0000  2 Rh 2.39
Pd 0.5000 0.0000 0.0000  2 Rh 2.39
Tc 0.5000 0.5000 0.5000  12 Pd 3.38
Rh 0.0000 0.0000 0.0000  6 Pd 2.39

Entry 13:
Here is an optimized crystal structure of FeGeAs2Se from Alexandria via LeMat-Bulk. Energies are from PBE-GGA.

Output
- M_tot (μB/cell) = 0.0
- formation energy without anion corrections (kJ/mol of formula units) = 192
- energy above the lowest structure with this stoichiometry (eV per atom) = 0.000

Unit cell a=4.3709 b=4.3709 c=5.3586 alpha=90.00 beta=90.00 gamma=90.00
Last column: nearest neighbours and their distance in Å.
Atoms (fractional coordinates):
Ge 0.5000 0.5000 0.5000  4 Se 3.09, 8 As 3.46
As 0.0000 0.5000 0.0000  2 Fe 2.19
As 0.5000 0.0000 0.0000  2 Fe 2.19
Fe 0.0000 0.0000 0.0000  4 As 2.19
Se 0.0000 0.0000 0.5000  2 Fe 2.68

Entry 14:
Here is an optimized crystal structure of LaGdInHg from Alexandria via LeMat-Bulk. Energies are from PBE-GGA.

Output
- M_tot (μB/cell) = 8.1
- formation energy from the elements (eV/f.u.) = -2.00

Unit cell a=5.4666 b=5.4666 c=5.4666 alpha=60.00 beta=60.00 gamma=60.00
Last column: nearest neighbours and their distance in Å.
Atoms (fractional coordinates):
Hg 0.7500 0.7500 0.7500  4 Gd 3.35, 4 La 3.35
Gd 0.5000 0.5000 0.5000  4 Hg 3.35, 4 In 3.35
In 0.2500 0.2500 0.2500  4 Gd 3.35, 4 La 3.35
La 0.0000 0.0000 0.0000  4 Hg 3.35, 4 In 3.35

Entry 15:
Here is an optimized crystal structure of LiCoW3 from Alexandria via LeMat-Bulk. Energies are from PBE-GGA.

Output
- M_tot (μB/cell) = 0.0
- formation energy from the elements (eV/f.u.) = 7.78
- energy above the lowest structure with this stoichiometry (eV per atom) = 0.066

Unit cell a=4.1562 b=4.1562 c=4.1562 alpha=90.00 beta=90.00 gamma=90.00
Last column: nearest neighbours and their distance in Å.
Atoms (fractional coordinates):
W 0.0000 0.5000 0.0000  2 Li 2.08
W 0.0000 0.0000 0.5000  2 Li 2.08
W 0.5000 0.0000 0.0000  2 Li 2.08
Co 0.5000 0.5000 0.5000  12 W 2.94
Li 0.0000 0.0000 0.0000  6 W 2.08

Entry 16:
Here is an optimized crystal structure of ErIn2Hg5 from Alexandria via LeMat-Bulk. Energies are from PBE-GGA.

Output
- M_tot (μB/cell) = 0.0
- formation energy from the elements (eV/f.u.) = -1.25

Unit cell a=4.6816 b=4.6816 c=9.6319 alpha=104.07 beta=104.06 gamma=90.00
Last column: nearest neighbours and their distance in Å.
Atoms (fractional coordinates):
Hg 0.1231 0.6231 0.2462  4 In 3.21-3.35, 6 Hg 3.23-3.31, 2 Er 3.23
Hg 0.5000 0.5000 0.0000  8 Hg 3.23, 4 Er 3.31
Hg 0.3769 0.8769 0.7538  4 In 3.21-3.35, 6 Hg 3.23-3.31, 2 Er 3.23
Hg 0.8769 0.3769 0.7538  4 In 3.21-3.35, 6 Hg 3.23-3.31, 2 Er 3.23
Hg 0.6231 0.1231 0.2462  4 In 3.21-3.35, 6 Hg 3.23-3.31, 2 Er 3.23
In 0.2446 0.2446 0.4892  8 Hg 3.21-3.35, 4 In 3.32
In 0.7554 0.7554 0.5108  8 Hg 3.21-3.35, 4 In 3.32
Er 0.0000 0.0000 0.0000  12 Hg 3.23-3.31

Entry 17:
Here is an optimized crystal structure of SrS2N from Alexandria via LeMat-Bulk. Energies are from PBE-GGA.

Output
- M_tot (μB/cell) = 2.0
- formation energy without anion corrections (kJ/mol of formula units) = 33
- energy above the lowest structure with this stoichiometry (eV per atom) = 0.233

Unit cell a=6.1388 b=6.1388 c=6.1939 alpha=60.29 beta=60.29 gamma=90.00
Last column: nearest neighbours and their distance in Å.
Atoms (fractional coordinates):
S 0.3750 0.5463 0.7500  2 N 1.95
S 0.4537 0.1250 0.2500  2 N 1.95
S 0.8750 0.7037 0.7500  2 N 1.95
S 0.2963 0.6250 0.2500  2 N 1.95
Sr 0.7500 0.2500 0.5000  4 S 3.20
Sr 0.0000 0.0000 0.0000  4 S 3.20
N 0.5000 0.5000 0.0000  4 S 1.95
N 0.2500 0.7500 0.5000  4 S 1.95